VASP calculation (PBE) on a relaxed Hf2TaAgPd crystal.

Cell and atoms, written as CIF:
```
data_Hf2TaAgPd
_symmetry_space_group_name_H-M 'P 4/m m m'
_symmetry_Int_Tables_number 123
_symmetry_space_group_name_Hall '-P 4 2'
_cell_length_a 5.009
_cell_length_b 5.009
_cell_length_c 4.883
_cell_angle_alpha 90.00
_cell_angle_beta 90.00
_cell_angle_gamma 90.00
loop_
_atom_site_label
_atom_site_type_symbol
_atom_site_fract_x
_atom_site_fract_y
_atom_site_fract_z
Hf1 Hf 0.000 0.500 0.000
Ta1 Ta 0.000 0.000 0.500
Ag1 Ag 0.000 0.000 0.000
Pd1 Pd 0.500 0.500 0.500
```

Spin magnetization: 0.0 μB per formula unit
Energy of formation: 1402 meV/atom
Final energy: -6.5583 eV/atom
V: 24.507 Å³/atom